Density functional theory data (PBE) for a relaxed structure of Pm6US8.

For the uncorrected energy, the calculation gives -6.781 eV per atom. Its energy relative to the elements, uncorrected is -28.9 eV/f.u.

Cell: 8.039 8.039 8.039 Å, 60.00 60.00 60.00°
Last column: magnetic moment on the atom in μB.
Fractional coordinates of all 15 atoms:
U (0.000, 0.000, 0.000)  2.59
S (0.245, 0.755, 0.245)  -0.02
S (0.755, 0.245, 0.245)  -0.02
S (0.750, 0.750, 0.750)  0.00
S (0.245, 0.755, 0.755)  -0.02
S (0.250, 0.250, 0.250)  0.00
S (0.245, 0.245, 0.755)  -0.02
S (0.755, 0.755, 0.245)  -0.02
S (0.755, 0.245, 0.755)  -0.02
Pm (0.500, 0.000, 0.000)  0.07
Pm (0.000, 0.000, 0.500)  0.07
Pm (0.500, 0.000, 0.500)  0.07
Pm (0.500, 0.500, 0.000)  0.07
Pm (0.000, 0.500, 0.000)  0.07
Pm (0.000, 0.500, 0.500)  0.07

Density functional theory data (PBE) for a relaxed structure of PmU4S8.

For the uncorrected energy, the calculation gives -7.798 eV per atom. Its energy relative to the elements, uncorrected is -18.5 eV/f.u.

Cell: 8.081 8.081 8.081 Å, 60.00 60.00 60.00°
Last column: magnetic moment on the atom in μB.
Fractional coordinates of all 13 atoms:
S (0.158, 0.614, 0.614)  -0.06
S (0.614, 0.614, 0.158)  -0.06
S (0.136, 0.593, 0.136)  -0.07
S (0.136, 0.136, 0.593)  -0.07
S (0.614, 0.158, 0.614)  -0.06
S (0.593, 0.136, 0.136)  -0.07
S (0.136, 0.136, 0.136)  -0.07
S (0.614, 0.614, 0.614)  -0.06
U (0.887, 0.371, 0.371)  2.48
U (0.371, 0.371, 0.371)  2.48
U (0.371, 0.371, 0.887)  2.48
U (0.371, 0.887, 0.371)  2.48
Pm (0.750, 0.750, 0.750)  0.14

Density functional theory data (PBE) for a relaxed structure of Pm2US4.

For the uncorrected energy, the calculation gives -6.922 eV per atom. Its energy relative to the elements, uncorrected is -11.2 eV/f.u.

Cell: 8.267 8.267 8.268 Å, 119.95 119.95 90.08°
Last column: magnetic moment on the atom in μB.
Fractional coordinates of all 14 atoms:
S (0.382, 0.617, 0.234)  -0.02
S (0.398, 0.133, 0.266)  -0.02
S (0.852, 0.617, 0.234)  -0.02
S (0.868, 0.133, 0.266)  -0.02
S (0.383, 0.148, 0.766)  -0.02
S (0.867, 0.132, 0.734)  -0.02
S (0.867, 0.602, 0.734)  -0.02
S (0.383, 0.618, 0.766)  -0.02
U (0.000, 0.000, 0.000)  2.90
U (0.250, 0.750, 0.500)  2.90
Pm (0.625, 0.375, 0.250)  0.08
Pm (0.625, 0.375, 0.750)  0.08
Pm (0.625, 0.875, 0.250)  0.08
Pm (0.125, 0.375, 0.750)  0.08

Density functional theory data (PBE) for a relaxed structure of Pm2US6.

For the uncorrected energy, the calculation gives -6.625 eV per atom. Its energy relative to the elements, uncorrected is -14.1 eV/f.u.

Cell: 4.721 6.622 7.898 Å, 114.78 107.38 90.00°
Last column: magnetic moment on the atom in μB.
Fractional coordinates of all 9 atoms:
S (0.157, 0.402, 0.313)  -0.01
S (0.843, 0.088, 0.687)  -0.01
S (0.500, 0.226, 0.000)  -0.02
S (0.500, 0.774, 0.000)  -0.02
S (0.843, 0.598, 0.687)  -0.01
S (0.157, 0.912, 0.313)  -0.01
Pm (0.334, 0.334, 0.668)  0.00
Pm (0.666, 0.666, 0.332)  0.00
U (0.000, 0.000, 0.000)  0.29

Density functional theory data (PBE) for a relaxed structure of PmU4S7.

For the uncorrected energy, the calculation gives -8.030 eV per atom. Its energy relative to the elements, uncorrected is -17.6 eV/f.u.

Cell: 3.920 3.920 22.886 Å, 90.00 90.00 120.00°
Last column: magnetic moment on the atom in μB.
Fractional coordinates of all 12 atoms:
S (0.333, 0.667, 0.132)  -0.07
S (0.667, 0.333, 0.868)  -0.07
S (0.000, 0.000, 0.000)  -0.07
S (0.333, 0.667, 0.425)  -0.04
S (0.667, 0.333, 0.575)  -0.04
S (0.000, 0.000, 0.707)  -0.07
S (0.000, 0.000, 0.293)  -0.07
U (0.667, 0.333, 0.355)  2.21
U (0.333, 0.667, 0.930)  1.99
U (0.333, 0.667, 0.645)  2.21
U (0.667, 0.333, 0.070)  1.99
Pm (0.000, 0.000, 0.500)  -0.03

Density functional theory data (PBE) for a relaxed structure of Pm3US4.

For the uncorrected energy, the calculation gives -7.100 eV per atom. Its energy relative to the elements, uncorrected is -14.8 eV/f.u.

Cell: 3.967 6.936 6.936 Å, 109.11 90.00 90.00°
Last column: magnetic moment on the atom in μB.
Fractional coordinates of all 8 atoms:
S (0.000, 0.242, 0.242)  -0.03
S (0.000, 0.758, 0.758)  -0.03
S (0.500, 0.754, 0.246)  -0.01
S (0.500, 0.246, 0.754)  -0.01
U (0.500, 0.000, 0.000)  2.37
Pm (0.000, 0.000, 0.500)  0.04
Pm (0.500, 0.500, 0.500)  -0.02
Pm (0.000, 0.500, 0.000)  0.04

Density functional theory data (PBE) for a relaxed structure of PmU5S6.

For the uncorrected energy, the calculation gives -8.629 eV per atom. Its energy relative to the elements, uncorrected is -17.6 eV/f.u.

Cell: 6.766 6.766 6.735 Å, 99.70 99.70 120.31°
Last column: magnetic moment on the atom in μB.
Fractional coordinates of all 12 atoms:
S (0.915, 0.576, 0.746)  -0.06
S (0.085, 0.424, 0.254)  -0.06
S (0.744, 0.744, 0.250)  -0.06
S (0.424, 0.085, 0.254)  -0.06
S (0.576, 0.915, 0.746)  -0.06
S (0.256, 0.256, 0.750)  -0.06
U (0.500, 0.500, 0.500)  2.16
U (0.836, 0.164, 0.500)  2.17
U (0.164, 0.836, 0.500)  2.17
U (0.333, 0.667, 0.000)  2.14
U (0.667, 0.333, 0.000)  2.14
Pm (0.000, 0.000, 0.000)  0.01

Density functional theory data (PBE) for a relaxed structure of Pm2US3.

For the uncorrected energy, the calculation gives -7.295 eV per atom. Its energy relative to the elements, uncorrected is -10.6 eV/f.u.

Cell: 3.907 3.907 20.270 Å, 90.00 90.00 120.00°
Last column: magnetic moment on the atom in μB.
Fractional coordinates of all 12 atoms:
S (0.333, 0.667, 0.169)  -0.04
S (0.667, 0.333, 0.669)  -0.04
S (0.000, 0.000, 0.500)  0.00
S (0.000, 0.000, 0.000)  0.00
S (0.333, 0.667, 0.331)  -0.04
S (0.667, 0.333, 0.831)  -0.04
Pm (0.667, 0.333, 0.087)  -0.02
Pm (0.667, 0.333, 0.413)  -0.02
Pm (0.333, 0.667, 0.913)  -0.02
Pm (0.333, 0.667, 0.587)  -0.02
U (0.000, 0.000, 0.750)  2.29
U (0.000, 0.000, 0.250)  2.29

Density functional theory data (PBE) for a relaxed structure of PmUS4.

For the uncorrected energy, the calculation gives -6.931 eV per atom. Its energy relative to the elements, uncorrected is -9.0 eV/f.u.

Cell: 6.436 7.454 7.393 Å, 112.44 90.00 90.00°
Last column: magnetic moment on the atom in μB.
Fractional coordinates of all 12 atoms:
U (0.500, 0.500, 0.000)  1.21
U (0.000, 0.000, 0.000)  1.21
Pm (0.000, 0.500, 0.500)  -0.01
Pm (0.500, 0.000, 0.500)  -0.01
S (0.326, 0.846, 0.119)  -0.05
S (0.857, 0.116, 0.350)  -0.04
S (0.643, 0.616, 0.350)  -0.04
S (0.674, 0.154, 0.881)  -0.05
S (0.826, 0.654, 0.881)  -0.05
S (0.357, 0.384, 0.650)  -0.04
S (0.174, 0.346, 0.119)  -0.05
S (0.143, 0.884, 0.650)  -0.04

Density functional theory data (PBE) for a relaxed structure of PmU2S4.

For the uncorrected energy, the calculation gives -7.812 eV per atom. Its energy relative to the elements, uncorrected is -10.8 eV/f.u.

Cell: 3.804 6.774 13.227 Å, 90.00 90.00 106.30°
Last column: magnetic moment on the atom in μB.
Fractional coordinates of all 14 atoms:
S (0.776, 0.552, 0.125)  -0.05
S (0.500, 0.000, 0.500)  -0.08
S (0.776, 0.552, 0.375)  -0.05
S (0.500, 0.000, 0.000)  -0.08
S (0.224, 0.448, 0.625)  -0.05
S (0.044, 0.088, 0.250)  -0.04
S (0.956, 0.912, 0.750)  -0.04
S (0.224, 0.448, 0.875)  -0.05
U (0.865, 0.730, 0.935)  2.60
U (0.135, 0.270, 0.435)  2.60
U (0.135, 0.270, 0.065)  2.60
U (0.865, 0.730, 0.565)  2.60
Pm (0.617, 0.235, 0.750)  0.08
Pm (0.383, 0.765, 0.250)  0.08

Density functional theory data (PBE) for a relaxed structure of PmU2S3.

For the uncorrected energy, the calculation gives -8.181 eV per atom. Its energy relative to the elements, uncorrected is -9.4 eV/f.u.

Cell: 3.878 5.544 6.845 Å, 113.89 106.46 90.00°
Last column: magnetic moment on the atom in μB.
Fractional coordinates of all 6 atoms:
Pm (0.000, 0.500, 0.000)  0.01
S (0.000, 0.000, 0.000)  -0.05
S (0.327, 0.327, 0.654)  -0.05
S (0.673, 0.673, 0.346)  -0.05
U (0.336, 0.836, 0.672)  2.20
U (0.664, 0.164, 0.328)  2.20

Density functional theory data (PBE) for a relaxed structure of PmY2US8.

For the uncorrected energy, the calculation gives -6.655 eV per atom. Its energy relative to the elements, uncorrected is -17.9 eV/f.u.

Cell: 6.326 5.948 8.243 Å, 89.97 90.00 90.66°
Fractional coordinates of all 12 atoms:
Y (0.500, 0.500, 0.245)
Y (0.500, 0.500, 0.755)
S (0.417, 0.213, 0.500)
S (0.866, 0.248, 0.769)
S (0.134, 0.752, 0.231)
S (0.340, 0.244, 0.000)
S (0.866, 0.248, 0.230)
S (0.660, 0.756, 0.000)
S (0.583, 0.787, 0.500)
S (0.134, 0.752, 0.770)
U (0.000, 0.000, 0.000)
Pm (0.000, 0.000, 0.500)

| no. | theoretical density (g/cm³) |
| --- | --- |
| 1 | 6.17 |
| 2 | 6.02 |
| 3 | 5.45 |
| 4 | 5.65 |
| 5 | 7.20 |
| 6 | 7.38 |
| 7 | 10.13 |
| 8 | 7.74 |
| 9 | 5.18 |
| 10 | 7.61 |
| 11 | 9.31 |
| 12 | 4.38 |